Record 1
A relaxed Ba2CdCoSe2O2 crystal, computed with PBE with a Hubbard U.

a b c (Å): 4.2561 4.2561 12.4677
angles (deg): 90.00 90.00 120.00
Space group P3m1 (No. 156)
One atom of each set of equivalent atoms:
Ba1 0.0000 0.0000 0.0000 (multiplicity 1)
Ba2 0.3333 0.6667 0.5199 (multiplicity 1)
Cd1 0.6667 0.3333 0.2358 (multiplicity 1)
Co1 0.6667 0.3333 0.7342 (multiplicity 1)
Se1 0.0000 0.0000 0.3227 (multiplicity 1)
Se2 0.3333 0.6667 0.7979 (multiplicity 1)
O1 0.6667 0.3333 0.0641 (multiplicity 1)
O2 0.6667 0.3333 0.5846 (multiplicity 1)

=====

Record 2
A relaxed Ba2CdCoTe2O2 crystal, computed with PBE with a Hubbard U.

a b c (Å): 4.4048 4.4048 12.9431
angles (deg): 90.00 90.00 120.00
Space group P3m1 (No. 156)
One atom of each set of equivalent atoms:
Ba1 0.0000 0.0000 0.0000 (multiplicity 1)
Ba2 0.3333 0.6667 0.5195 (multiplicity 1)
Cd1 0.6667 0.3333 0.3006 (multiplicity 1)
Co1 0.6667 0.3333 0.8005 (multiplicity 1)
Te1 0.0000 0.0000 0.7267 (multiplicity 1)
Te2 0.3333 0.6667 0.2050 (multiplicity 1)
O1 0.6667 0.3333 0.4667 (multiplicity 1)
O2 0.6667 0.3333 0.9448 (multiplicity 1)

=====

| no. | E (eV/atom) |
| --- | --- |
| 1 | -4.923 |
| 2 | -4.599 |